P | Entry from Alexandria via LeMat-Bulk: Ba3Hg4Bi4 after structural relaxation (PBE-GGA).

Computed properties:
Calculated density: 8.6 Mg/m³
Crystal system: triclinic
Total magnetization: 0.000 μB per atom

abc: 5.138 5.242 15.092
angles: 82.89 80.38 89.85
Space group P-1 (No. 2)
One atom of each set of equivalent atoms:
Ba  0.000  0.000  0.000 (multiplicity 1)
Ba  0.344  0.844  0.313 (multiplicity 2)
Hg  0.094  0.413  0.810 (multiplicity 2)
Hg  0.249  0.257  0.503 (multiplicity 2)
Bi  0.191  0.708  0.620 (multiplicity 2)
Bi  0.450  0.388  0.100 (multiplicity 2)

Q | Entry from Alexandria via LeMat-Bulk: Ba3Hg4Bi4 after structural relaxation (PBE-GGA).

Computed properties:
Calculated density: 8.8 Mg/m³
Crystal system: orthorhombic
Total magnetization: 0.000 μB per atom

abc: 5.186 8.442 17.624
angles: 90.00 90.00 90.00
Space group Immm (No. 71)
One atom of each set of equivalent atoms:
Ba  0.000  0.000  0.000 (multiplicity 2)
Ba  0.000  0.500  0.134 (multiplicity 4)
Hg  0.000  0.297  0.329 (multiplicity 8)
Bi  0.000  0.000  0.211 (multiplicity 4)
Bi  0.000  0.184  0.500 (multiplicity 4)

The structure with the least stability is P.

P | Entry from Alexandria via LeMat-Bulk: BaHg3Bi after structural relaxation (PBE-GGA).

Computed properties:
Calculated density: 6.2 Mg/m³
Crystal system: cubic
Total magnetization: 0.215 μB per atom

abc: 6.321 6.321 6.321
angles: 90.00 90.00 90.00
Space group Pm-3m (No. 221)
One atom of each set of equivalent atoms:
Ba  0.000  0.000  0.000 (multiplicity 1)
Hg  0.000  0.000  0.500 (multiplicity 3)
Bi  0.500  0.500  0.500 (multiplicity 1)

Q | Entry from Alexandria via LeMat-Bulk: BaHg3Bi after structural relaxation (PBE-GGA).

Computed properties:
Calculated density: 9.7 Mg/m³
Crystal system: monoclinic
Total magnetization: 0.000 μB per atom

abc: 6.733 7.146 7.199
angles: 90.00 111.10 90.00
Space group P2_1/m (No. 11)
One atom of each set of equivalent atoms:
Ba  0.237  0.250  0.283 (multiplicity 2)
Hg  0.166  0.750  0.472 (multiplicity 2)
Hg  0.239  0.034  0.787 (multiplicity 4)
Bi  0.327  0.750  0.137 (multiplicity 2)

The structure with the least stability is P.

P | Entry from Alexandria via LeMat-Bulk: BaHg3Bi after structural relaxation (PBE-GGA).

Computed properties:
Calculated density: 9.7 Mg/m³
Crystal system: monoclinic
Total magnetization: 0.000 μB per atom

abc: 8.957 7.052 10.664
angles: 90.00 106.13 90.00
Space group P2_1/c (No. 14)
One atom of each set of equivalent atoms:
Ba  0.236  0.011  0.289 (multiplicity 4)
Hg  0.181  0.509  0.346 (multiplicity 4)
Hg  0.353  0.591  0.137 (multiplicity 4)
Hg  0.459  0.191  0.055 (multiplicity 4)
Bi  0.003  0.225  0.501 (multiplicity 4)

Q | Entry from Alexandria via LeMat-Bulk: BaHg3Bi after structural relaxation (PBE-GGA).

Computed properties:
Calculated density: 7.8 Mg/m³
Crystal system: cubic
Total magnetization: 0.000 μB per atom

abc: 5.866 5.866 5.866
angles: 90.00 90.00 90.00
Space group Pm-3m (No. 221)
One atom of each set of equivalent atoms:
Ba  0.000  0.000  0.000 (multiplicity 1)
Hg  0.000  0.500  0.500 (multiplicity 3)
Bi  0.500  0.500  0.500 (multiplicity 1)

The structure with the least stability is Q.

P | Entry from Alexandria via LeMat-Bulk: Ba3HgBi2 after structural relaxation (PBE-GGA).

Computed properties:
Calculated density: 6.0 Mg/m³
Crystal system: monoclinic
Total magnetization: 0.000 μB per atom

abc: 16.568 7.094 10.162
angles: 90.00 107.78 90.00
Space group C2/c (No. 15)
One atom of each set of equivalent atoms:
Ba  0.000  0.100  0.250 (multiplicity 4)
Ba  0.196  0.499  0.098 (multiplicity 8)
Hg  0.000  0.385  0.750 (multiplicity 4)
Bi  0.150  0.003  0.575 (multiplicity 8)

Q | Entry from Alexandria via LeMat-Bulk: Ba3HgBi2 after structural relaxation (PBE-GGA).

Computed properties:
Calculated density: 7.1 Mg/m³
Crystal system: orthorhombic
Total magnetization: 0.000 μB per atom

abc: 5.960 18.373 4.404
angles: 90.00 90.00 90.00
Space group Cmmm (No. 65)
One atom of each set of equivalent atoms:
Ba  0.000  0.000  0.000 (multiplicity 2)
Ba  0.000  0.324  0.000 (multiplicity 4)
Hg  0.000  0.500  0.500 (multiplicity 2)
Bi  0.000  0.156  0.500 (multiplicity 4)

The structure with the least stability is P.

P | Entry from Alexandria via LeMat-Bulk: BaHg3Bi2 after structural relaxation (PBE-GGA).

Computed properties:
Calculated density: 9.8 Mg/m³
Crystal system: orthorhombic
Total magnetization: 0.000 μB per atom

abc: 9.791 12.035 6.688
angles: 90.00 90.00 90.00
Space group Cmcm (No. 63)
One atom of each set of equivalent atoms:
Ba  0.000  0.246  0.250 (multiplicity 4)
Hg  0.000  0.036  0.750 (multiplicity 4)
Hg  0.156  0.262  0.750 (multiplicity 8)
Bi  0.165  0.500  0.000 (multiplicity 8)

Q | Entry from Alexandria via LeMat-Bulk: BaHg3Bi2 after structural relaxation (PBE-GGA).

Computed properties:
Calculated density: 9.7 Mg/m³
Crystal system: monoclinic
Total magnetization: 0.000 μB per atom

abc: 18.852 5.642 7.894
angles: 90.00 109.91 90.00
Space group C2/m (No. 12)
One atom of each set of equivalent atoms:
Ba  0.138  0.000  0.172 (multiplicity 4)
Hg  0.037  0.000  0.690 (multiplicity 4)
Hg  0.167  0.500  0.484 (multiplicity 4)
Hg  0.178  0.500  0.899 (multiplicity 4)
Bi  0.003  0.500  0.811 (multiplicity 4)
Bi  0.204  0.000  0.711 (multiplicity 4)

The structure with the least stability is P.